8
Lattice="-2.4416 4.6466 5.7692 2.4416 -4.6466 5.7692 2.4416 4.6466 -5.7692" Properties=species:S:1:pos:R:3 comment="PBE-GGA BaTl5Hg2, optimized geometry" final_energy_ev_per_atom=-1.94 sg=Immm delta_e_f_kj_per_mol_atoms=-14.5 pbc="T T T"
Ba 0.0000 0.0000 0.0000
Tl 2.4416 2.9255 -1.6784
Tl 2.4416 2.9255 1.6784
Tl 0.0000 4.6466 0.0000
Tl 0.0000 1.7211 4.0908
Tl 0.0000 1.7211 7.4475
Hg 2.4416 0.0000 2.5841
Hg 0.0000 4.6466 3.1850